[1]
AlReMo2W, optimized geometry, DFT PBE; DOS at the Fermi energy = 6.6 states/eV/cell; DFT formation energy = 1.708 eV per atom; total DFT energy (no corrections) = -42.3 eV for the cell shown; total magnetization = 0.00 μB per cell
1.0
-4.693 0.505 -0.294
-0.527 -4.726 0.293
-0.261 0.321 4.711
Re Mo Al W
1 2 1 1
Direct
0.000 0.000 0.000
0.000 0.000 0.500
0.500 0.000 0.000
0.500 0.500 0.500
0.000 0.500 0.000

***

[2]
SrTaHg2, optimized geometry, DFT PBE; DOS at the Fermi energy = 2.8 states/eV/cell; DFT formation energy = 0.347 eV per atom; total DFT energy (no corrections) = -12.7 eV for the cell shown; total magnetization = 0.00 μB per cell
1.0
4.888 -0.004 0.003
3.670 3.228 0.003
1.135 0.428 6.703
Hg Sr Ta
2 1 1
Direct
0.991 0.991 0.059
0.509 0.509 0.441
0.750 0.750 0.750
0.250 0.250 0.250

***

[3]
CsSmAg2I6, optimized geometry, DFT PBE; DOS at the Fermi energy = 0.0 states/eV/cell; formation energy from raw total energies = -0.8985 eV per atom; total DFT energy (no corrections) = -59.1 eV for the cell shown; total magnetization = 0.00 μB per cell
1.0
-9.163 0.555 -1.997
-2.103 -6.843 -8.478
-5.248 -7.987 5.638
Cs Sm Ag I
2 2 4 12
Direct
0.250 0.828 0.172
0.750 0.172 0.828
0.250 0.178 0.822
0.750 0.822 0.178
0.369 0.615 0.516
0.131 0.484 0.385
0.631 0.385 0.484
0.869 0.516 0.615
0.169 0.944 0.820
0.331 0.180 0.056
0.831 0.056 0.180
0.669 0.820 0.944
0.474 0.847 0.403
0.026 0.597 0.153
0.526 0.153 0.597
0.974 0.403 0.847
0.038 0.704 0.543
0.462 0.457 0.296
0.962 0.296 0.457
0.538 0.543 0.704

***

[4]
Na4InBi2, optimized geometry, DFT PBE; DOS at the Fermi energy = 5.8 states/eV/cell; DFT formation energy = 0.084 eV per atom; total DFT energy (no corrections) = -15.2 eV for the cell shown; total magnetization = 0.00 μB per cell; offset from the most stable computed form = 195 meV/atom
1.0
-2.070 -3.940 3.743
-2.132 -3.095 -4.438
4.639 -7.498 -0.809
Na Bi In
4 2 1
Direct
0.196 0.196 0.607
0.804 0.804 0.393
0.000 0.500 0.000
0.500 0.000 0.000
0.400 0.400 0.199
0.600 0.600 0.801
0.000 0.000 0.000

***

[5]
Sr3CaSb2S, optimized geometry, DFT PBE; formation energy from raw total energies = -1.2877 eV per atom; total DFT energy (no corrections) = -28.4 eV for the cell shown; total magnetization = 0.00 μB per cell
1.0
5.252 0.000 0.000
0.000 5.442 0.000
-2.626 -2.721 8.659
Sr Ca Sb S
3 1 2 1
Direct
0.000 0.500 0.000
0.176 0.176 0.352
0.824 0.824 0.648
0.500 0.000 0.000
0.633 0.633 0.266
0.367 0.367 0.734
0.000 0.000 0.000

***

[6]
SmTm2Cd5, optimized geometry, DFT PBE; DOS at the Fermi energy = 3.4 states/eV/cell; DFT formation energy = -0.301 eV per atom; total DFT energy (no corrections) = -20.6 eV for the cell shown; total magnetization = 0.00 μB per cell
1.0
-3.825 -3.441 -0.004
3.404 -3.785 0.747
-0.517 4.413 6.993
Sm Tm Cd
1 2 5
Direct
0.000 0.000 0.000
0.739 0.739 0.478
0.261 0.261 0.522
0.500 0.500 0.000
0.876 0.376 0.751
0.376 0.876 0.751
0.124 0.624 0.249
0.624 0.124 0.249

***

[7]
CdCoTc2, optimized geometry, DFT PBE; DOS at the Fermi energy = 5.3 states/eV/cell; DFT formation energy = 0.467 eV per atom; total DFT energy (no corrections) = -26.9 eV for the cell shown; total magnetization = 1.92 μB per cell
1.0
4.396 0.000 0.000
2.198 3.807 0.000
2.198 1.269 3.589
Cd Co Tc
1 1 2
Direct
0.500 0.500 0.500
0.750 0.750 0.750
0.000 0.000 0.000
0.250 0.250 0.250

***

[8]
In2MoRh, optimized geometry, DFT PBE; DOS at the Fermi energy = 3.1 states/eV/cell; DFT formation energy = 0.226 eV per atom; total DFT energy (no corrections) = -22.8 eV for the cell shown; total magnetization = 0.00 μB per cell; offset from the most stable computed form = 179 meV/atom
1.0
-2.189 -0.102 4.873
0.761 -4.922 -1.936
2.257 -0.890 1.607
In Mo Rh
2 1 1
Direct
0.000 0.000 0.000
0.500 0.500 0.000
0.500 0.000 0.500
0.000 0.500 0.500